(1)
## Ca2AgAu2 (PBE)

Data for a relaxed structure of Ca2AgAu2.

Values from the calculation:
Distance to the lowest polymorph of the same formula (eV per atom): 0.169
Crystal system: tetragonal
Formation energy from the elements (eV/atom): -0.474

a = 5.7143 Å, b = 5.7143 Å, c = 8.1769 Å
α = 90.00°, β = 90.00°, γ = 90.00°
Fractional coordinates of all 10 atoms:
Ca1 0.0000 0.5000 0.2500
Ca2 0.0000 0.5000 0.7500
Ca3 0.5000 0.0000 0.2500
Ca4 0.5000 0.0000 0.7500
Ag1 0.0000 0.0000 0.0000
Ag2 0.5000 0.5000 0.5000
Au1 0.0000 0.0000 0.3385
Au2 0.0000 0.0000 0.6615
Au3 0.5000 0.5000 0.1615
Au4 0.5000 0.5000 0.8385

=====

(2)
## Ce4TeSe5 (PBE)

Data for a relaxed structure of Ce4TeSe5.

Values from the calculation:
Formation energy from raw total energies (eV per atom): -1.660
Crystal system: monoclinic

a = 9.5714 Å, b = 9.5714 Å, c = 8.7207 Å
α = 109.10°, β = 109.10°, γ = 26.12°
Fractional coordinates of all 10 atoms:
Ce1 0.0056 0.0056 0.2745
Ce2 0.3145 0.3145 0.8643
Ce3 0.6855 0.6855 0.1357
Ce4 0.9944 0.9944 0.7255
Te1 0.5000 0.5000 0.0000
Se1 0.1614 0.1614 0.8853
Se2 0.1670 0.1670 0.3401
Se3 0.5000 0.5000 0.5000
Se4 0.8330 0.8330 0.6599
Se5 0.8386 0.8386 0.1147

=====

Repeat the second record exactly.
## Ce4TeSe5 (PBE)

Data for a relaxed structure of Ce4TeSe5.

Values from the calculation:
Formation energy from raw total energies (eV per atom): -1.660
Crystal system: monoclinic

a = 9.5714 Å, b = 9.5714 Å, c = 8.7207 Å
α = 109.10°, β = 109.10°, γ = 26.12°
Fractional coordinates of all 10 atoms:
Ce1 0.0056 0.0056 0.2745
Ce2 0.3145 0.3145 0.8643
Ce3 0.6855 0.6855 0.1357
Ce4 0.9944 0.9944 0.7255
Te1 0.5000 0.5000 0.0000
Se1 0.1614 0.1614 0.8853
Se2 0.1670 0.1670 0.3401
Se3 0.5000 0.5000 0.5000
Se4 0.8330 0.8330 0.6599
Se5 0.8386 0.8386 0.1147